Compound: LaPr5Y6
Source: Alexandria via LeMat-Bulk
Functional: PBE
Structure: optimized geometry

Results
For the energy relative to the elements, the calculation gives 0.01 eV per atom. The total magnetic moment comes out at 0.000 μB/atom. Its mass density is 5.595 Mg/m³. As for the space group: C2/m.

Lattice parameters (Å, degrees): 11.937 6.337 6.337 60.00 84.94 79.83
Atoms (fractional coordinates):
La1 0.000 0.000 0.000
Pr1 0.500 0.167 0.666
Pr2 0.000 0.334 0.333
Pr3 0.500 0.500 0.000
Pr4 0.000 0.666 0.667
Pr5 0.500 0.833 0.334
Y1 0.750 0.083 0.334
Y2 0.250 0.583 0.334
Y3 0.251 0.251 0.000
Y4 0.749 0.749 0.000
Y5 0.750 0.417 0.666
Y6 0.250 0.917 0.666